# 1
MnBTe2 | PBE | relaxed

Uncorrected formation energy: 59 kJ/mol of atoms
ΔE to the lowest computed polymorph: 0.0 meV/atom
Symmetry: I-42d, No. 122
Magnetic moment: 0.0 μB per formula unit
VASP energy: -4.921 eV per atom

Cell lengths 5.6574, 5.6574, 6.5790 Å; angles 64.54, 64.54, 90.00 degrees
Fractional coordinates of all 8 atoms:
Mn (0.0000, 0.0000, 0.0000)
Mn (0.7500, 0.2500, 0.5000)
B (0.2500, 0.7500, 0.5000)
B (0.5000, 0.5000, 0.0000)
Te (0.5982, 0.1250, 0.2500)
Te (0.8750, 0.8482, 0.7500)
Te (0.3750, 0.4018, 0.7500)
Te (0.1518, 0.6250, 0.2500)


# 2
MnTl2BTe | PBE | relaxed

Uncorrected formation energy: 49 kJ/mol of atoms
Symmetry: P4/mmm, No. 123
Magnetic moment: 4.5 μB per formula unit
VASP energy: -4.237 eV per atom

Cell lengths 5.1016, 4.4505, 5.1016 Å; angles 90.00, 90.00, 90.00 degrees
Fractional coordinates of all 5 atoms:
Te (0.5000, 0.5000, 0.5000)
Tl (0.5000, 0.0000, 0.0000)
Tl (0.0000, 0.0000, 0.5000)
B (0.0000, 0.0000, 0.0000)
Mn (0.0000, 0.5000, 0.0000)


# 3
Th2Mn17B2 | PBE | relaxed

Energy of formation from the pure elements: -0.0286 eV per atom
Symmetry: C2/m, No. 12
Magnetic moment: 3.3 μB per formula unit
VASP energy: -8.794 eV per atom

Cell lengths 6.4815, 6.5145, 6.5145 Å; angles 84.29, 83.72, 83.72 degrees
Fractional coordinates of all 21 atoms:
Mn (0.0000, 0.7332, 0.2668)
Mn (0.6667, 0.1409, 0.6664)
Mn (0.7266, 0.2752, 0.0061)
Mn (0.2734, 0.9939, 0.7248)
Mn (0.2734, 0.7248, 0.9939)
Mn (0.0000, 0.2668, 0.7332)
Mn (0.7266, 0.0061, 0.2752)
Mn (0.0000, 0.0000, 0.5000)
Mn (0.1354, 0.6572, 0.6572)
Mn (0.8646, 0.3428, 0.3428)
Mn (0.0000, 0.5000, 0.0000)
Mn (0.5000, 0.0000, 0.0000)
Mn (0.3333, 0.3336, 0.8591)
Mn (0.9063, 0.9019, 0.9019)
Mn (0.3333, 0.8591, 0.3336)
Mn (0.6667, 0.6664, 0.1409)
Mn (0.0937, 0.0981, 0.0981)
B (0.5000, 0.5000, 0.0000)
B (0.5000, 0.0000, 0.5000)
Th (0.3342, 0.3596, 0.3596)
Th (0.6658, 0.6404, 0.6404)


# 4
Th3MnB7 | PBE | relaxed

Energy of formation from the pure elements: -0.4330 eV per atom
Symmetry: Cmcm, No. 63
Magnetic moment: 0.0 μB per formula unit
VASP energy: -7.539 eV per atom

Cell lengths 3.5238, 8.2968, 9.9630 Å; angles 90.00, 90.00, 102.26 degrees
Fractional coordinates of all 22 atoms:
B (0.6379, 0.2759, 0.8420)
B (0.6379, 0.2759, 0.6580)
B (0.2727, 0.5455, 0.4687)
B (0.7273, 0.4545, 0.5313)
B (0.5356, 0.0711, 0.2500)
B (0.4644, 0.9289, 0.7500)
B (0.3621, 0.7241, 0.1580)
B (0.7273, 0.4545, 0.9687)
B (0.3621, 0.7241, 0.3420)
B (0.5328, 0.0656, 0.8781)
B (0.4672, 0.9344, 0.3781)
B (0.2727, 0.5455, 0.0313)
B (0.5328, 0.0656, 0.6219)
B (0.4672, 0.9344, 0.1219)
Th (0.2526, 0.5052, 0.7500)
Th (0.1002, 0.2003, 0.4444)
Th (0.8998, 0.7997, 0.9444)
Th (0.8998, 0.7997, 0.5556)
Th (0.1002, 0.2003, 0.0556)
Th (0.7474, 0.4948, 0.2500)
Mn (0.0597, 0.1193, 0.7500)
Mn (0.9403, 0.8807, 0.2500)


# 5
ThMnB12 | PBE | relaxed

Energy of formation from the pure elements: -0.1063 eV per atom
Symmetry: P4/mmm, No. 123
Magnetic moment: 4.6 μB per formula unit
VASP energy: -7.015 eV per atom

Cell lengths 4.1024, 4.1024, 8.2458 Å; angles 90.00, 90.00, 90.00 degrees
Fractional coordinates of all 14 atoms:
B (0.5000, 0.5000, 0.0993)
B (0.8008, 0.5000, 0.2491)
B (0.5000, 0.8008, 0.7509)
B (0.5000, 0.5000, 0.9007)
B (0.1992, 0.5000, 0.7509)
B (0.5000, 0.1992, 0.2491)
B (0.1992, 0.5000, 0.2491)
B (0.5000, 0.5000, 0.4006)
B (0.5000, 0.8008, 0.2491)
B (0.8008, 0.5000, 0.7509)
B (0.5000, 0.1992, 0.7509)
B (0.5000, 0.5000, 0.5994)
Mn (0.0000, 0.0000, 0.0000)
Th (0.0000, 0.0000, 0.5000)


# 6
ThMnB2 | PBE | relaxed

Energy of formation from the pure elements: -0.1209 eV per atom
Symmetry: R-3m, No. 166
Magnetic moment: 0.0 μB per formula unit
VASP energy: -7.607 eV per atom

Cell lengths 3.5697, 3.5697, 5.2529 Å; angles 70.14, 70.14, 60.00 degrees
Fractional coordinates of all 4 atoms:
Mn (0.0000, 0.0000, 0.0000)
B (0.6952, 0.6952, 0.9143)
B (0.3048, 0.3048, 0.0857)
Th (0.5000, 0.5000, 0.5000)


# 7
TiMnB3 | PBE | relaxed

Energy of formation from the pure elements: 1.8216 eV per atom
Symmetry: Pm-3m, No. 221
Magnetic moment: 0.0 μB per formula unit
VASP energy: -5.598 eV per atom

Cell lengths 3.9103, 3.9103, 3.9103 Å; angles 90.00, 90.00, 90.00 degrees
Fractional coordinates of all 5 atoms:
B (0.0000, 0.0000, 0.5000)
B (0.5000, 0.0000, 0.0000)
B (0.0000, 0.5000, 0.0000)
Mn (0.5000, 0.5000, 0.5000)
Ti (0.0000, 0.0000, 0.0000)


# 8
TiMnB2 | PBE | relaxed

ΔE to the lowest computed polymorph: 600.7 meV/atom
Energy of formation from the pure elements: -0.0815 eV per atom
Symmetry: Fm-3m, No. 225
Magnetic moment: 0.0 μB per formula unit
VASP energy: -7.686 eV per atom

Cell lengths 3.7340, 3.7340, 3.7340 Å; angles 60.00, 60.00, 60.00 degrees
Fractional coordinates of all 4 atoms:
Ti (0.0000, 0.0000, 0.0000)
Mn (0.5000, 0.5000, 0.5000)
B (0.7500, 0.7500, 0.7500)
B (0.2500, 0.2500, 0.2500)


# 9
TiMn2B | PBE | relaxed

Energy of formation from the pure elements: 0.0252 eV per atom
Symmetry: I-42d, No. 122
Magnetic moment: 0.0 μB per formula unit
VASP energy: -8.203 eV per atom

Cell lengths 6.4920, 6.4920, 5.0848 Å; angles 50.33, 50.33, 90.00 degrees
Fractional coordinates of all 8 atoms:
Mn (0.8750, 0.7816, 0.7500)
Mn (0.2184, 0.6250, 0.2500)
Mn (0.5316, 0.1250, 0.2500)
Mn (0.3750, 0.4684, 0.7500)
Ti (0.7500, 0.2500, 0.5000)
Ti (0.0000, 0.0000, 0.0000)
B (0.2500, 0.7500, 0.5000)
B (0.5000, 0.5000, 0.0000)


# 10
TiMnB2 | PBE | relaxed

ΔE to the lowest computed polymorph: 0.0 meV/atom
Energy of formation from the pure elements: -0.6822 eV per atom
Symmetry: Amm2, No. 38
Magnetic moment: 0.8 μB per formula unit
VASP energy: -8.287 eV per atom

Cell lengths 3.1162, 2.9601, 4.3027 Å; angles 90.00, 111.22, 90.00 degrees
Fractional coordinates of all 4 atoms:
Mn (0.7240, 0.0000, 0.9866)
B (0.0277, 0.0000, 0.5944)
B (0.1460, 0.5000, 0.8309)
Ti (0.4334, 0.5000, 0.4061)


# 11
Ti3MnB7 | PBE | relaxed

Energy of formation from the pure elements: -0.8486 eV per atom
Symmetry: Cmcm, No. 63
Magnetic moment: 1.1 μB per formula unit
VASP energy: -8.085 eV per atom

Cell lengths 3.0953, 7.2455, 8.7491 Å; angles 90.00, 90.00, 102.33 degrees
Fractional coordinates of all 22 atoms:
Ti (0.7525, 0.5049, 0.2500)
Ti (0.2475, 0.4951, 0.7500)
Ti (0.1075, 0.2150, 0.0512)
Ti (0.8925, 0.7850, 0.9488)
Ti (0.8925, 0.7850, 0.5512)
Ti (0.1075, 0.2150, 0.4488)
B (0.6331, 0.2661, 0.6510)
B (0.3669, 0.7339, 0.3490)
B (0.5137, 0.0274, 0.9068)
B (0.4329, 0.8658, 0.7500)
B (0.2718, 0.5437, 0.4675)
B (0.5137, 0.0274, 0.5932)
B (0.6331, 0.2661, 0.8490)
B (0.4863, 0.9726, 0.0932)
B (0.4863, 0.9726, 0.4068)
B (0.5671, 0.1342, 0.2500)
B (0.7282, 0.4563, 0.5325)
B (0.3669, 0.7339, 0.1510)
B (0.7282, 0.4563, 0.9675)
B (0.2718, 0.5437, 0.0325)
Mn (0.9538, 0.9076, 0.2500)
Mn (0.0462, 0.0924, 0.7500)


# 12
TiMnB2 | PBE | relaxed

ΔE to the lowest computed polymorph: 189.7 meV/atom
Energy of formation from the pure elements: -0.4926 eV per atom
Symmetry: C2/m, No. 12
Magnetic moment: 0.0 μB per formula unit
VASP energy: -8.097 eV per atom

Cell lengths 2.9442, 4.3455, 3.7134 Å; angles 112.31, 113.36, 90.00 degrees
Fractional coordinates of all 4 atoms:
B (0.7354, 0.6023, 0.4708)
B (0.2646, 0.3977, 0.5292)
Ti (0.5000, 0.0000, 0.0000)
Mn (0.0000, 0.5000, 0.0000)


The Fermi-level density of states results, record by record, are as follows: 0.22, 0.36, 1.10, 0.49, 0.17, 0.65, 3.48, 0.52, 0.98, 0.48, 0.37, 0.40 states/eV/atom.